Material: LiReTc2N4
Method: DFT, PBE
State: optimized geometry

Results
For the energy relative to the elements, uncorrected, the calculation gives -0.0340 eV per atom. The value obtained for the theoretical density is 7.9 g/cm3. Its calculated volume is 186.4 Å³/cell. The magnetic moment is 0.00 μB per formula unit.

Lattice parameters (Å, degrees): 5.2483 5.8053 6.1179 90.00 90.00 90.00
With the nearest neighbours (Å) after each atom.
Sites, in units of the cell vectors:
1 Tc 0.9673 0.6260 0.7511  4 N 1.97-2.04
2 N 0.9249 0.8579 0.0000  1 Re 1.91, 2 Tc 2.04, 1 Li 2.12
3 Re 0.5406 0.8300 0.5000  4 N 1.91-1.92
4 N 0.3363 0.6905 0.2768  1 Re 1.92, 2 Tc 1.97-1.98, 1 Li 2.11
5 Tc 0.4673 0.3740 0.2511  4 N 1.97-2.04
6 N 0.3363 0.6905 0.7232  1 Re 1.92, 2 Tc 1.97-1.98, 1 Li 2.11
7 N 0.8363 0.3095 0.7768  1 Re 1.92, 2 Tc 1.97-1.98, 1 Li 2.11
8 N 0.9056 0.8458 0.5000  1 Re 1.92, 1 Li 1.98, 2 Tc 2.02
9 Re 0.0406 0.1700 0.0000  4 N 1.91-1.92
10 Tc 0.9673 0.6260 0.2489  4 N 1.97-2.04
11 N 0.4056 0.1542 0.0000  1 Re 1.92, 1 Li 1.98, 2 Tc 2.02
12 Tc 0.4673 0.3740 0.7489  4 N 1.97-2.04
13 Li 0.5215 0.8296 0.0000  4 N 1.98-2.12
14 Li 0.0215 0.1704 0.5000  4 N 1.98-2.12
15 N 0.4249 0.1421 0.5000  1 Re 1.91, 2 Tc 2.04, 1 Li 2.12
16 N 0.8363 0.3095 0.2232  1 Re 1.92, 2 Tc 1.97-1.98, 1 Li 2.11

=====

Material: NdEuCuRh
Method: DFT, PBE
State: optimized geometry

Results
The value obtained for the theoretical density is 8.5 g/cm3. The calculation puts the formation energy at -7.919 kcal/mol of atoms. Its calculated volume is 90.3 Å³/cell. The magnetic moment is 7.05 μB per formula unit.

Lattice parameters (Å, degrees): 5.0351 5.0351 5.0351 60.00 60.00 60.00
With the nearest neighbours (Å) after each atom.
Sites, in units of the cell vectors:
1 Nd 0.5000 0.5000 0.5000  4 Cu 3.08, 4 Rh 3.08
2 Eu 0.0000 0.0000 0.0000  4 Rh 3.08, 4 Cu 3.08
3 Rh 0.7500 0.7500 0.7500  4 Nd 3.08, 4 Eu 3.08
4 Cu 0.2500 0.2500 0.2500  4 Eu 3.08, 4 Nd 3.08

=====

Material: Be2RuPt
Method: DFT, PBE
State: optimized geometry

Results
The value obtained for the theoretical density is 11.0 g/cm3. The calculation puts the formation energy at -7.465 kcal/mol of atoms. The energy relative to the lowest polymorph listed for this composition is 206 meV/atom. Its calculated volume is 47.2 Å³/cell. The magnetic moment is 0.00 μB per formula unit.

Lattice parameters (Å, degrees): 3.3342 2.7493 5.1524 90.28 90.00 90.00
With the nearest neighbours (Å) after each atom.
Sites, in units of the cell vectors:
1 Be 0.0000 0.2441 0.5472  1 Be 2.09, 2 Pt 2.26
2 Be 0.0000 0.2559 0.9528  1 Be 2.09, 2 Pt 2.26
3 Ru 0.5000 0.7500 0.7500  8 Be 2.39-2.41
4 Pt 0.5000 0.2500 0.2500  4 Be 2.26

=====

Material: La6Pt2Rh3I
Method: DFT, PBE
State: optimized geometry

Results
For the energy relative to the elements, uncorrected, the calculation gives -0.9111 eV per atom. The value obtained for the theoretical density is 8.2 g/cm3. Its calculated volume is 336.3 Å³/cell. The magnetic moment is 0.00 μB per formula unit.

Lattice parameters (Å, degrees): 4.2037 8.8142 9.6364 104.81 102.60 90.00
With the nearest neighbours (Å) after each atom.
Sites, in units of the cell vectors:
1 Pt 0.8348 0.6703 0.6697  6 La 3.02-3.09
2 La 0.3314 0.4153 0.6629  3 Rh 3.02-3.06, 3 Pt 3.02-3.07
3 La 0.6829 0.0867 0.3658  3 Rh 2.78-3.06, 2 Pt 3.08
4 La 0.9969 0.2859 0.9939  3 Rh 2.82-2.93, 1 Pt 3.09
5 La 0.0031 0.7141 0.0061  3 Rh 2.82-2.93, 1 Pt 3.09
6 Rh 0.1639 0.8274 0.3279  6 La 2.78-3.06
7 I 0.5000 0.0000 0.0000  6 La 3.29-3.32
8 La 0.3171 0.9133 0.6342  3 Rh 2.78-3.06, 2 Pt 3.08
9 Rh 0.5000 0.5000 0.0000  6 La 2.82-3.06
10 Pt 0.1652 0.3297 0.3303  6 La 3.02-3.09
11 Rh 0.8361 0.1726 0.6721  6 La 2.78-3.06
12 La 0.6686 0.5847 0.3371  3 Rh 3.02-3.06, 3 Pt 3.02-3.07